Entry 1:
The following is a DFT calculation (PBE-GGA) of a relaxed structure of CdTeO.

Summary:
Energy relative to the elements, uncorrected (eV per atom): -0.403
Space-group type: No. 71
Magnetic moment (μB per cell): 0.000
Total DFT energy (no corrections) (eV for the cell shown): -20.45
N(E_F) (states/eV/f.u.): 0.4

a b c (Å): 4.4255 6.0551 18.3101
angles (deg): 152.38 90.00 111.43
Atoms (fractional coordinates):
Te1 0.2576 0.5151 0.7574
Te2 0.7424 0.4849 0.2426
O1 0.8185 0.6369 0.8182
O2 0.1815 0.3631 0.1818
Cd1 0.5392 0.0784 0.7695
Cd2 0.4608 0.9216 0.2305



Entry 2:
The following is a DFT calculation (PBE-GGA) of a relaxed structure of CdTe2O6.

Summary:
Energy relative to the elements, uncorrected (eV per atom): -0.882
Excess energy over the best structure of this formula in the dataset (meV per atom): 0.0
Space-group type: No. 12
Magnetic moment (μB per cell): 0.000
Total DFT energy (no corrections) (eV for the cell shown): -44.88
N(E_F) (states/eV/f.u.): 1.7

a b c (Å): 3.9312 5.5894 7.0524
angles (deg): 70.97 73.82 69.41
Atoms (fractional coordinates):
Cd1 0.0000 0.5000 0.5000
Te1 0.1804 0.7851 0.8542
Te2 0.8196 0.2149 0.1458
O1 0.6948 0.7011 0.9093
O2 0.3052 0.2989 0.0907
O3 0.9805 0.8399 0.1991
O4 0.3461 0.7135 0.5944
O5 0.0195 0.1601 0.8009
O6 0.6539 0.2865 0.4056



Entry 3:
The following is a DFT calculation (PBE-GGA) of a relaxed structure of ThCdTeO6.

Summary:
Energy relative to the elements, uncorrected (eV per atom): -1.962
Space-group type: No. 163
Magnetic moment (μB per cell): 0.000
Total DFT energy (no corrections) (eV for the cell shown): -117.77
N(E_F) (states/eV/f.u.): 0.0

a b c (Å): 5.5445 5.5445 9.8051
angles (deg): 90.00 90.00 120.00
Atoms (fractional coordinates):
Th1 0.0000 0.0000 0.0000
Th2 0.0000 0.0000 0.5000
Cd1 0.3333 0.6667 0.2500
Cd2 0.6667 0.3333 0.7500
Te1 0.6667 0.3333 0.2500
Te2 0.3333 0.6667 0.7500
O1 0.6787 0.6286 0.1353
O2 0.9498 0.3213 0.1353
O3 0.3213 0.9498 0.6353
O4 0.0502 0.6787 0.8647
O5 0.3714 0.3213 0.3647
O6 0.9498 0.6286 0.3647
O7 0.6286 0.9498 0.8647
O8 0.6787 0.0502 0.3647
O9 0.0502 0.3714 0.6353
O10 0.3714 0.0502 0.1353
O11 0.6286 0.6787 0.6353
O12 0.3213 0.3714 0.8647



Entry 4:
The following is a DFT calculation (PBE-GGA) of a relaxed structure of Ti2CdTeO8.

Summary:
Energy relative to the elements, uncorrected (eV per atom): -1.972
Space-group type: No. 12
Magnetic moment (μB per cell): 0.000
Total DFT energy (no corrections) (eV for the cell shown): -83.18
N(E_F) (states/eV/f.u.): 0.0

a b c (Å): 4.7979 4.7982 6.4720
angles (deg): 86.32 86.32 84.91
Atoms (fractional coordinates):
Ti1 0.4562 0.4562 0.7314
Ti2 0.5438 0.5438 0.2686
Cd1 0.0000 0.0000 0.5000
Te1 0.0000 0.0000 0.0000
O1 0.2049 0.7885 0.2191
O2 0.7246 0.7246 0.0275
O3 0.7885 0.2049 0.2191
O4 0.7951 0.2115 0.7809
O5 0.2754 0.2754 0.9725
O6 0.2115 0.7951 0.7809
O7 0.6741 0.6741 0.4933
O8 0.3259 0.3259 0.5067



Entry 5:
The following is a DFT calculation (PBE-GGA) of a relaxed structure of TiCdTeO6.

Summary:
Energy relative to the elements, uncorrected (eV per atom): -1.711
Space-group type: No. 163
Magnetic moment (μB per cell): 0.000
Total DFT energy (no corrections) (eV for the cell shown): -114.20
N(E_F) (states/eV/f.u.): 0.0

a b c (Å): 5.2247 5.2247 9.7861
angles (deg): 90.00 90.00 120.00
Atoms (fractional coordinates):
Ti1 0.6667 0.3333 0.2500
Ti2 0.3333 0.6667 0.7500
Cd1 0.0000 0.0000 0.0000
Cd2 0.0000 0.0000 0.5000
Te1 0.3333 0.6667 0.2500
Te2 0.6667 0.3333 0.7500
O1 0.6270 0.6315 0.1406
O2 0.0045 0.3730 0.1406
O3 0.3730 0.0045 0.6406
O4 0.9955 0.6270 0.8594
O5 0.3685 0.3730 0.3594
O6 0.0045 0.6315 0.3594
O7 0.6315 0.0045 0.8594
O8 0.6270 0.9955 0.3594
O9 0.9955 0.3685 0.6406
O10 0.3685 0.9955 0.1406
O11 0.6315 0.6270 0.6406
O12 0.3730 0.3685 0.8594



Entry 6:
The following is a DFT calculation (PBE-GGA) of a relaxed structure of TiCd2TeO6.

Summary:
Energy relative to the elements, uncorrected (eV per atom): -1.416
Space-group type: No. 99
Magnetic moment (μB per cell): 0.000
Total DFT energy (no corrections) (eV for the cell shown): -56.77
N(E_F) (states/eV/f.u.): 1.6

a b c (Å): 4.7699 5.6794 5.6794
angles (deg): 90.00 90.00 90.00
Atoms (fractional coordinates):
Ti1 0.5918 0.0000 0.0000
Cd1 0.9655 0.5000 0.0000
Cd2 0.9655 0.0000 0.5000
Te1 0.6138 0.5000 0.5000
O1 0.7168 0.2368 0.2368
O2 0.7168 0.2368 0.7632
O3 0.2152 0.5000 0.5000
O4 0.2279 0.0000 0.0000
O5 0.7168 0.7632 0.7632
O6 0.7168 0.7632 0.2368



Entry 7:
The following is a DFT calculation (PBE-GGA) of a relaxed structure of Tl2CdTeO4.

Summary:
Energy relative to the elements, uncorrected (eV per atom): -0.866
Space-group type: No. 1
Magnetic moment (μB per cell): 0.000
Total DFT energy (no corrections) (eV for the cell shown): -71.11
N(E_F) (states/eV/f.u.): 0.0

a b c (Å): 8.1205 8.1979 7.2199
angles (deg): 115.61 114.80 102.56
Atoms (fractional coordinates):
Tl1 0.4285 0.9670 0.9650
Tl2 0.5314 0.0704 0.5381
Tl3 0.9712 0.9881 0.4846
Tl4 0.5132 0.5311 0.0129
Cd1 0.0644 0.4661 0.9917
Cd2 0.0334 0.4344 0.5107
Te1 0.4626 0.5499 0.4862
Te2 0.9504 0.0380 0.0112
O1 0.2565 0.6565 0.9359
O2 0.8429 0.2425 0.5663
O3 0.2599 0.6396 0.4721
O4 0.8595 0.2394 0.0300
O5 0.7390 0.8639 0.9956
O6 0.6369 0.7613 0.5029
O7 0.1488 0.1994 0.3719
O8 0.3014 0.3525 0.1249



Entry 8:
The following is a DFT calculation (PBE-GGA) of a relaxed structure of TlCdTeO6.

Summary:
Energy relative to the elements, uncorrected (eV per atom): -0.760
Space-group type: No. 102
Magnetic moment (μB per cell): 2.086
Total DFT energy (no corrections) (eV for the cell shown): -86.02
N(E_F) (states/eV/f.u.): 5.9

a b c (Å): 5.0205 5.0205 10.0503
angles (deg): 90.00 90.00 90.00
Atoms (fractional coordinates):
Tl1 0.5000 0.5000 0.1671
Tl2 0.0000 0.0000 0.6671
Cd1 0.5000 0.5000 0.4994
Cd2 0.0000 0.0000 0.9994
Te1 0.5000 0.5000 0.8335
Te2 0.0000 0.0000 0.3335
O1 0.1822 0.8178 0.4792
O2 0.8178 0.1822 0.4792
O3 0.3178 0.3178 0.9792
O4 0.6822 0.6822 0.9792
O5 0.1830 0.8170 0.1884
O6 0.8170 0.1830 0.1884
O7 0.3170 0.3170 0.6884
O8 0.6830 0.6830 0.6884
O9 0.7769 0.2231 0.8324
O10 0.2231 0.7769 0.8324
O11 0.7231 0.7231 0.3324
O12 0.2769 0.2769 0.3324



N(E_F) of number 7 (Tl2CdTeO4)? 0.0 states/eV/f.u.



The highest magnetic moment belongs to which entry? TlCdTeO6